Entry 1:
Entry from Alexandria via LeMat-Bulk: YTh5C6 after structural relaxation (PBE).

Computed properties:
Space group = C2/m
VASP energy = -8.49 eV per atom
Size of the total moment = 0.00 μB/f.u.
Volume = 18.68 A^3/atom

```
12
Lattice="3.250 -5.628 0.000 3.250 5.628 0.000 -2.169 0.000 6.129" Properties=species:S:1:pos:R:3 pbc="T T T"
Y 0.000 0.000 0.000
Th 2.166 3.762 3.064
Th 3.250 1.880 0.000
Th 2.166 0.000 3.064
Th 3.250 -1.880 0.000
Th 2.166 -3.762 3.064
C 1.095 1.896 1.546
C 0.024 0.000 4.593
C 1.095 -1.896 1.546
C 3.237 1.896 4.583
C 4.307 0.000 1.536
C 3.237 -1.896 4.583
```

Entry 2:
Entry from Alexandria via LeMat-Bulk: Sr3La after structural relaxation (PBE).

Computed properties:
Space group = R-3m
VASP energy = -2.37 eV per atom
Size of the total moment = 0.00 μB/f.u.
Volume = 47.75 A^3/atom

```
4
Lattice="6.497 3.751 1.306 -6.497 3.751 1.306 0.000 -7.502 1.306" Properties=species:S:1:pos:R:3 pbc="T T T"
Sr -3.249 -1.876 1.306
Sr -3.249 1.876 2.612
Sr 0.000 3.751 1.306
La 0.000 0.000 0.000
```

Entry 3:
Entry from Alexandria via LeMat-Bulk: TlGa2ReSb after structural relaxation (PBE).

Computed properties:
Space group = P4/mmm
VASP energy = -4.79 eV per atom
Size of the total moment = 0.00 μB/f.u.
Volume = 25.66 A^3/atom

```
5
Lattice="4.972 0.000 0.000 0.000 4.972 0.000 0.000 0.000 5.189" Properties=species:S:1:pos:R:3 pbc="T T T"
Tl 0.000 0.000 0.000
Ga 0.000 2.486 2.594
Ga 2.486 0.000 2.594
Re 2.486 2.486 2.594
Sb 2.486 2.486 0.000
```

Entry 4:
Entry from Alexandria via LeMat-Bulk: Ba2MoOs after structural relaxation (PBE).

Computed properties:
Space group = C2/m
VASP energy = -5.87 eV per atom
Size of the total moment = 0.69 μB/f.u.
Volume = 32.72 A^3/atom

```
4
Lattice="9.879 -1.779 0.000 9.879 1.779 0.000 -0.708 0.000 3.723" Properties=species:S:1:pos:R:3 pbc="T T T"
Ba 2.734 0.000 0.520
Ba 16.316 0.000 3.203
Mo -0.354 0.000 1.861
Os 9.879 0.000 0.000
```

Entry 5:
Entry from Alexandria via LeMat-Bulk: Sc8Ni2P after structural relaxation (PBE).

Computed properties:
Space group = Cm
VASP energy = -6.50 eV per atom
Size of the total moment = 0.00 μB/f.u.
Volume = 21.08 A^3/atom

```
11
Lattice="3.778 -5.775 0.000 3.778 5.775 0.000 -2.037 0.000 5.314" Properties=species:S:1:pos:R:3 pbc="T T T"
Sc 0.000 0.000 0.000
Sc -0.096 1.535 2.958
Sc 2.307 2.426 0.904
Sc -0.096 -1.535 2.958
Sc 2.703 1.499 4.144
Sc 2.307 -2.426 0.904
Sc 2.703 -1.499 4.144
Sc 4.680 0.000 1.941
Ni 1.322 3.614 3.698
Ni 1.322 -3.614 3.698
P 1.910 0.000 2.022
```

Entry 6:
Entry from Alexandria via LeMat-Bulk: U2NbGa after structural relaxation (PBE).

Computed properties:
Space group = Fm-3m
VASP energy = -8.54 eV per atom
Size of the total moment = 3.44 μB/f.u.
Volume = 21.18 A^3/atom

```
4
Lattice="0.000 3.486 3.486 3.486 0.000 3.486 3.486 3.486 0.000" Properties=species:S:1:pos:R:3 pbc="T T T"
U 1.743 1.743 1.743
U 5.229 5.229 5.229
Nb 0.000 0.000 0.000
Ga 3.486 3.486 3.486
```

Entry 7:
Entry from Alexandria via LeMat-Bulk: As2SeCl after structural relaxation (PBE).

Computed properties:
Space group = R3m
VASP energy = -3.50 eV per atom
Size of the total moment = 0.00 μB/f.u.
Volume = 22.54 A^3/atom

```
4
Lattice="1.917 1.107 7.082 -1.917 1.107 7.082 0.000 -2.214 7.082" Properties=species:S:1:pos:R:3 pbc="T T T"
As 0.000 0.000 0.000
As 0.000 0.000 5.722
Se 0.000 0.000 15.776
Cl 0.000 0.000 10.993
```

Entry 8:
Entry from Alexandria via LeMat-Bulk: PrTmZr after structural relaxation (PBE).

Computed properties:
Space group = P2_1/m
VASP energy = -5.80 eV per atom
Size of the total moment = 0.00 μB/f.u.
Volume = 29.09 A^3/atom

```
6
Lattice="3.407 0.000 0.000 0.000 4.771 0.000 -1.685 0.000 10.738" Properties=species:S:1:pos:R:3 pbc="T T T"
Pr 0.013 1.193 1.103
Pr 1.709 3.579 9.635
Tm 0.005 1.193 7.755
Tm 1.718 3.579 2.983
Zr 0.012 1.193 4.618
Zr 1.710 3.579 6.119
```